[1]
Entry from Alexandria: CsNa2HfNi after structural relaxation (PBE).

Structure (POSCAR):
```
CsNa2HfNi
1.0
5.428 0.000 0.000
0.000 5.428 0.000
0.000 0.000 5.765
Cs Na Hf Ni
1 2 1 1
Direct
0.000 0.000 0.000
0.000 0.500 0.000
0.500 0.000 0.000
0.000 0.000 0.500
0.500 0.500 0.500
```

Output
- formation enthalpy at 0 K (eV/f.u.) = 10.00
- space group = P4/mmm, No. 123

---

[2]
Entry from Alexandria: Cs2NaHf3O8 after structural relaxation (PBE).

Structure (POSCAR):
```
Cs2NaHf3O8
1.0
3.271 1.889 7.236
-3.271 1.889 7.236
0.000 -3.778 7.236
Cs Na Hf O
2 1 3 8
Direct
0.000 0.000 0.000
0.356 0.356 0.356
0.837 0.837 0.837
0.356 0.356 0.855
0.356 0.855 0.356
0.855 0.356 0.356
0.080 0.080 0.544
0.080 0.544 0.080
0.139 0.139 0.139
0.181 0.616 0.616
0.544 0.080 0.080
0.571 0.571 0.571
0.616 0.181 0.616
0.616 0.616 0.181
```

Output
- ΔE_f (raw) (kcal/mol of atoms) = -61.80
- space group = R3m, No. 160

---

[3]
Entry from Alexandria: Cs2NaHfPb after structural relaxation (PBE).

Structure (POSCAR):
```
Cs2NaHfPb
1.0
7.607 0.000 0.000
0.000 7.607 0.000
0.000 0.000 5.598
Cs Na Hf Pb
2 1 1 1
Direct
0.000 0.500 0.000
0.500 0.000 0.000
0.000 0.000 0.500
0.500 0.500 0.500
0.500 0.500 0.000
```

Output
- formation enthalpy at 0 K (eV/f.u.) = 3.22
- space group = P4/mmm, No. 123
- relative energy among the computed polymorphs (meV/atom) = 0

---

| no. | total moment (μB per formula unit) | E (eV/atom) |
| --- | --- | --- |
| 1 | 0.398 | -1.8455 |
| 2 | 1.116 | -7.8623 |
| 3 | 0.001 | -2.6929 |